An optimized crystal structure of Tb3Zn4Pd4. Source: Alexandria, functional GGA-PBE.

a = 3.581 Å, b = 4.318 Å, c = 14.182 Å
α = 80.92°, β = 82.64°, γ = 89.95°
Sites, in units of the cell vectors:
1 Tb 0.145 0.645 0.710
2 Tb 0.855 0.355 0.290
3 Tb 0.000 0.000 0.000
4 Zn 0.595 0.096 0.809
5 Zn 0.257 0.256 0.487
6 Zn 0.743 0.744 0.513
7 Zn 0.405 0.904 0.191
8 Pd 0.551 0.548 0.902
9 Pd 0.449 0.452 0.098
10 Pd 0.313 0.813 0.375
11 Pd 0.687 0.187 0.625

Output
magnetic moment	0.0	μB/f.u.
offset from the most stable computed form	50.3	meV per atom
space group	P-1 (2)
calculated formation energy	-0.64	eV/atom



An optimized crystal structure of Tb2ZnPd. Source: Alexandria, functional GGA-PBE.

a = 3.572 Å, b = 3.572 Å, c = 7.021 Å
α = 90.00°, β = 90.00°, γ = 90.00°
Sites, in units of the cell vectors:
1 Zn 0.500 0.500 0.500
2 Tb 0.000 0.000 0.755
3 Tb 0.000 0.000 0.245
4 Pd 0.500 0.500 0.000

Output
magnetic moment	0.0	μB/f.u.
space group	P4/mmm (123)
calculated formation energy	-0.62	eV/atom



An optimized crystal structure of Tb2Zn15Pd2. Source: Alexandria, functional GGA-PBE.

a = 6.794 Å, b = 6.794 Å, c = 6.794 Å
α = 82.76°, β = 82.76°, γ = 82.76°
Sites, in units of the cell vectors:
1 Tb 0.337 0.337 0.337
2 Tb 0.663 0.663 0.663
3 Zn 0.500 0.000 0.000
4 Zn 0.000 0.000 0.500
5 Zn 0.000 0.500 0.000
6 Zn 0.000 0.711 0.289
7 Zn 0.711 0.289 0.000
8 Zn 0.289 0.000 0.711
9 Zn 0.289 0.711 0.000
10 Zn 0.711 0.000 0.289
11 Zn 0.000 0.289 0.711
12 Zn 0.157 0.649 0.649
13 Zn 0.649 0.649 0.157
14 Zn 0.649 0.157 0.649
15 Zn 0.843 0.351 0.351
16 Zn 0.351 0.351 0.843
17 Zn 0.351 0.843 0.351
18 Pd 0.110 0.110 0.110
19 Pd 0.890 0.890 0.890

Output
magnetic moment	0.0	μB/f.u.
space group	R-3m (166)
calculated formation energy	-0.33	eV/atom